VASP calculation (PBE-GGA) on ReTc8 after structural relaxation.

- DFT formation energy: 7.0 kJ/mol of atoms
- Space group: No. 139
- DOS at the Fermi energy: 10.4 states/eV/f.u.
- E: -10.525 eV per atom

Cell and atoms, written as POSCAR:
```
ReTc8
1.0
-2.4770 1.9894 2.2084
-5.5759 -0.3145 -2.5813
0.0907 -5.8298 1.9642
Tc Re
8 1
Direct
0.6665 0.3335 0.6665 Tc
0.3332 0.3336 0.0000 Tc
0.0000 0.3335 0.3335 Tc
0.6668 0.6664 0.0000 Tc
0.3332 0.0000 0.6664 Tc
0.0000 0.6665 0.6665 Tc
0.3335 0.6665 0.3335 Tc
0.6668 0.0000 0.3336 Tc
0.0000 0.0000 0.0000 Re
```